(1)
Material: LaDyAsO2
Method: DFT, PBE
State: optimized geometry

Cell: 7.1524 7.1524 5.5036 Å, 90.00 90.00 134.64°
Last column: nearest neighbours and their distance in Å.
Atoms (fractional coordinates):
La  0.0986  0.9014  0.7500  4 O 2.36
La  0.9014  0.0986  0.2500  4 O 2.36
Dy  0.4164  0.5836  0.7500  4 O 2.22
Dy  0.5836  0.4164  0.2500  4 O 2.22
As  0.2497  0.7503  0.2500  4 La 3.40-3.41, 4 Dy 3.52
As  0.7503  0.2497  0.7500  4 La 3.40-3.41, 4 Dy 3.52
O  0.2557  0.2557  0.0000  2 Dy 2.22, 2 La 2.36
O  0.2557  0.2557  0.5000  2 Dy 2.22, 2 La 2.36
O  0.7443  0.7443  0.0000  2 Dy 2.22, 2 La 2.36
O  0.7443  0.7443  0.5000  2 Dy 2.22, 2 La 2.36

Summary:
Its magnetization is 0.000 μB per cell. The calculation puts the formation energy (no corrections) at -2688.2 meV/atom. The calculated volume comes out at 200.32 Å³/cell.

(2)
Material: TcHgN2O
Method: DFT, PBE
State: optimized geometry

Cell: 4.2106 4.2106 4.1634 Å, 90.00 90.00 90.00°
Last column: nearest neighbours and their distance in Å.
Atoms (fractional coordinates):
Tc  0.0000  0.0000  0.0000  8 N 2.96, 4 O 2.98
Hg  0.5000  0.5000  0.5000  2 O 2.08, 4 N 2.11
N  0.0000  0.5000  0.5000  2 Hg 2.11
N  0.5000  0.0000  0.5000  2 Hg 2.11
O  0.5000  0.5000  0.0000  2 Hg 2.08

Summary:
Its magnetization is 2.808 μB per cell. The calculation puts the formation energy (no corrections) at 2212.1 meV/atom. The calculated volume comes out at 73.81 Å³/cell.

(3)
Material: Dy2Zr2Tl3
Method: DFT, PBE
State: optimized geometry

Cell: 4.6226 23.2325 3.3231 Å, 90.00 90.00 90.00°
Last column: nearest neighbours and their distance in Å.
Atoms (fractional coordinates):
Dy  0.0000  0.0740  0.0000  1 Zr 3.15, 3 Dy 3.32-3.44, 8 Tl 3.33-3.43
Dy  0.0000  0.9260  0.0000  1 Zr 3.15, 3 Dy 3.32-3.44, 8 Tl 3.33-3.43
Dy  0.5000  0.4260  0.0000  1 Zr 3.15, 3 Dy 3.32-3.44, 8 Tl 3.33-3.43
Dy  0.5000  0.5740  0.0000  1 Zr 3.15, 3 Dy 3.32-3.44, 8 Tl 3.33-3.43
Zr  0.0000  0.2094  0.0000  4 Zr 2.98-3.32, 4 Tl 3.10, 1 Dy 3.15
Zr  0.0000  0.7906  0.0000  4 Zr 2.98-3.32, 4 Tl 3.10, 1 Dy 3.15
Zr  0.5000  0.2906  0.0000  4 Zr 2.98-3.32, 4 Tl 3.10, 1 Dy 3.15
Zr  0.5000  0.7094  0.0000  4 Zr 2.98-3.32, 4 Tl 3.10, 1 Dy 3.15
Tl  0.0000  0.3440  0.5000  4 Zr 3.10, 2 Tl 3.32, 4 Dy 3.43
Tl  0.0000  0.5000  0.5000  4 Tl 3.32-3.63, 8 Dy 3.33
Tl  0.0000  0.6560  0.5000  4 Zr 3.10, 2 Tl 3.32, 4 Dy 3.43
Tl  0.5000  0.0000  0.5000  4 Tl 3.32-3.63, 8 Dy 3.33
Tl  0.5000  0.1560  0.5000  4 Zr 3.10, 2 Tl 3.32, 4 Dy 3.43
Tl  0.5000  0.8440  0.5000  4 Zr 3.10, 2 Tl 3.32, 4 Dy 3.43

Summary:
Its magnetization is 0.000 μB per cell. For the total energy, the calculation gives -4.832 eV per atom. The calculated volume comes out at 356.88 Å³/cell.

(4)
Material: Ac6TlRu2
Method: DFT, PBE
State: optimized geometry

Cell: 9.2813 9.2813 9.2813 Å, 113.67 110.13 104.74°
Last column: nearest neighbours and their distance in Å.
Atoms (fractional coordinates):
Ac  0.0254  0.2299  0.7954  1 Ru 2.90
Ac  0.1767  0.2957  0.4724  3 Ru 3.18-3.39, 1 Tl 3.54
Ac  0.1767  0.7043  0.8810  3 Ru 3.18-3.39, 1 Tl 3.54
Ac  0.3336  0.0194  0.6858  3 Ru 2.96-3.26
Ac  0.3336  0.6478  0.3142  3 Ru 2.96-3.26
Ac  0.4345  0.2299  0.2046  1 Ru 2.90
Ac  0.5655  0.7701  0.7954  1 Ru 2.90
Ac  0.6664  0.3522  0.6858  3 Ru 2.96-3.26
Ac  0.6664  0.9806  0.3142  3 Ru 2.96-3.26
Ac  0.8233  0.2957  0.1190  3 Ru 3.18-3.39, 1 Tl 3.54
Ac  0.8233  0.7043  0.5276  3 Ru 3.18-3.39, 1 Tl 3.54
Ac  0.9746  0.7701  0.2046  1 Ru 2.90
Tl  0.0000  0.0000  0.0000  8 Ac 3.39-3.54, 2 Ru 3.45
Tl  0.5000  0.5000  0.0000  12 Ac 3.71-4.01
Ru  0.1326  0.6326  0.5000  6 Ac 2.96-3.18, 1 Ru 3.01
Ru  0.3245  0.0000  0.3245  2 Ac 2.90
Ru  0.6755  0.0000  0.6755  2 Ac 2.90
Ru  0.8674  0.3674  0.5000  6 Ac 2.96-3.18, 1 Ru 3.01

Summary:
Its magnetization is 0.000 μB per cell. Its energy above the most stable polymorph in this dataset is 0.00 eV per formula unit. The calculated volume comes out at 611.70 Å³/cell.

(5)
Material: Be3RuPb
Method: DFT, PBE
State: optimized geometry

Cell: 4.3253 4.3253 4.3253 Å, 90.00 90.00 90.00°
Last column: nearest neighbours and their distance in Å.
Atoms (fractional coordinates):
Be  0.0000  0.0000  0.5000  2 Ru 2.16
Be  0.0000  0.5000  0.0000  2 Ru 2.16
Be  0.5000  0.0000  0.0000  2 Ru 2.16
Ru  0.0000  0.0000  0.0000  6 Be 2.16
Pb  0.5000  0.5000  0.5000  12 Be 3.06

Summary:
Its magnetization is 0.000 μB per cell. Its energy above the most stable polymorph in this dataset is 0.00 eV per formula unit. The calculated volume comes out at 80.92 Å³/cell.

(6)
Material: SrB6PbC6
Method: DFT, PBE
State: optimized geometry

Cell: 4.9179 4.9179 4.9179 Å, 90.00 90.00 90.00°
Last column: nearest neighbours and their distance in Å.
Atoms (fractional coordinates):
Sr  0.0000  0.0000  0.0000  12 C 2.75, 12 B 2.75
B  0.0000  0.2514  0.5000  4 C 1.74
B  0.0000  0.7486  0.5000  4 C 1.74
B  0.2514  0.5000  0.0000  4 C 1.74
B  0.5000  0.0000  0.2514  4 C 1.74
B  0.5000  0.0000  0.7486  4 C 1.74
B  0.7486  0.5000  0.0000  4 C 1.74
Pb  0.5000  0.5000  0.5000  12 B 2.75, 12 C 2.75
C  0.0000  0.5000  0.2487  4 B 1.74
C  0.0000  0.5000  0.7513  4 B 1.74
C  0.2487  0.0000  0.5000  4 B 1.74
C  0.5000  0.2487  0.0000  4 B 1.74
C  0.5000  0.7513  0.0000  4 B 1.74
C  0.7513  0.0000  0.5000  4 B 1.74

Summary:
Its magnetization is 0.000 μB per cell. For the total energy, the calculation gives -6.767 eV per atom. The calculated volume comes out at 118.94 Å³/cell.

(7)
Material: Sm4CBr2Cl
Method: DFT, PBE
State: optimized geometry

Cell: 7.0412 3.8650 7.5732 Å, 90.00 106.65 90.00°
Last column: nearest neighbours and their distance in Å.
Atoms (fractional coordinates):
Sm  0.1975  0.0000  0.1870  2 C 2.56
Sm  0.2230  0.5000  0.8056  1 C 2.44
Sm  0.7770  0.5000  0.1944  1 C 2.44
Sm  0.8025  0.0000  0.8130  2 C 2.56
C  0.0000  0.5000  0.0000  6 Sm 2.44-2.56
Br  0.0000  0.0000  0.5000  6 Sm 3.07-3.08
Br  0.5000  0.5000  0.5000  6 Sm 3.32-3.43
Cl  0.5000  0.0000  0.0000  6 Sm 2.84-2.88

Summary:
Its magnetization is 0.000 μB per cell. The calculation puts the formation energy (no corrections) at -1033.2 meV/atom. The calculated volume comes out at 197.46 Å³/cell.

(8)
Material: LiSmErBe
Method: DFT, PBE
State: optimized geometry

Cell: 7.0891 7.0891 7.0891 Å, 90.00 90.00 90.00°
Last column: nearest neighbours and their distance in Å.
Atoms (fractional coordinates):
Li  0.0000  0.0000  0.0000  4 Er 3.07, 4 Sm 3.07
Li  0.0000  0.5000  0.5000  4 Er 3.07, 4 Sm 3.07
Li  0.5000  0.0000  0.5000  4 Er 3.07, 4 Sm 3.07
Li  0.5000  0.5000  0.0000  4 Er 3.07, 4 Sm 3.07
Sm  0.2500  0.2500  0.2500  4 Li 3.07, 4 Be 3.07
Sm  0.2500  0.7500  0.7500  4 Li 3.07, 4 Be 3.07
Sm  0.7500  0.2500  0.7500  4 Li 3.07, 4 Be 3.07
Sm  0.7500  0.7500  0.2500  4 Li 3.07, 4 Be 3.07
Er  0.2500  0.2500  0.7500  4 Li 3.07, 4 Be 3.07
Er  0.2500  0.7500  0.2500  4 Li 3.07, 4 Be 3.07
Er  0.7500  0.2500  0.2500  4 Li 3.07, 4 Be 3.07
Er  0.7500  0.7500  0.7500  4 Li 3.07, 4 Be 3.07
Be  0.0000  0.0000  0.5000  4 Sm 3.07, 4 Er 3.07
Be  0.0000  0.5000  0.0000  4 Sm 3.07, 4 Er 3.07
Be  0.5000  0.0000  0.0000  4 Sm 3.07, 4 Er 3.07
Be  0.5000  0.5000  0.5000  4 Er 3.07, 4 Sm 3.07

Summary:
Its magnetization is 0.001 μB per cell. For the total energy, the calculation gives -3.586 eV per atom. The calculated volume comes out at 356.27 Å³/cell.